1.
Computed, not measured: PmPrLuZn after structural relaxation at the PBE level of DFT.

Structure (POSCAR):
```
PmPrLuZn
1.0
7.659 0.000 0.000
0.000 7.659 0.000
0.000 0.000 7.659
Pm Pr Lu Zn
4 4 4 4
Direct
0.000 0.000 0.000 Pm
0.000 0.500 0.500 Pm
0.500 0.000 0.500 Pm
0.500 0.500 0.000 Pm
0.000 0.000 0.500 Pr
0.000 0.500 0.000 Pr
0.500 0.000 0.000 Pr
0.500 0.500 0.500 Pr
0.250 0.250 0.250 Lu
0.250 0.750 0.750 Lu
0.750 0.250 0.750 Lu
0.750 0.750 0.250 Lu
0.250 0.250 0.750 Zn
0.250 0.750 0.250 Zn
0.750 0.250 0.250 Zn
0.750 0.750 0.750 Zn
```

As for the energy relative to the elements: 0.1 kcal/mol of atoms. Its symmetry is F-43m (216).

2.
Computed, not measured: PmPrLuZr after structural relaxation at the PBE level of DFT.

Structure (POSCAR):
```
PmPrLuZr
1.0
7.853 0.000 0.000
0.000 7.853 0.000
0.000 0.000 7.853
Pm Pr Lu Zr
4 4 4 4
Direct
0.000 0.000 0.000 Pm
0.000 0.500 0.500 Pm
0.500 0.000 0.500 Pm
0.500 0.500 0.000 Pm
0.250 0.250 0.250 Pr
0.250 0.750 0.750 Pr
0.750 0.250 0.750 Pr
0.750 0.750 0.250 Pr
0.000 0.000 0.500 Lu
0.000 0.500 0.000 Lu
0.500 0.000 0.000 Lu
0.500 0.500 0.500 Lu
0.250 0.250 0.750 Zr
0.250 0.750 0.250 Zr
0.750 0.250 0.250 Zr
0.750 0.750 0.750 Zr
```

As for the energy relative to the elements: 5.6 kcal/mol of atoms. Its symmetry is F-43m (216).

3.
Computed, not measured: PmLuPt2 after structural relaxation at the PBE level of DFT.

Structure (POSCAR):
```
PmLuPt2
1.0
7.023 0.000 0.000
0.000 7.023 0.000
0.000 0.000 7.023
Pm Lu Pt
4 4 8
Direct
0.000 0.000 0.000 Pm
0.000 0.500 0.500 Pm
0.500 0.000 0.500 Pm
0.500 0.500 0.000 Pm
0.000 0.000 0.500 Lu
0.000 0.500 0.000 Lu
0.500 0.000 0.000 Lu
0.500 0.500 0.500 Lu
0.250 0.250 0.250 Pt
0.250 0.250 0.750 Pt
0.250 0.750 0.250 Pt
0.250 0.750 0.750 Pt
0.750 0.250 0.250 Pt
0.750 0.250 0.750 Pt
0.750 0.750 0.250 Pt
0.750 0.750 0.750 Pt
```

As for the energy relative to the elements: -27.0 kcal/mol of atoms. The calculation puts the excess energy over the best structure of this formula in the dataset at 14 meV/atom. Its symmetry is Fm-3m (225).

4.
Computed, not measured: PmLu2Pt after structural relaxation at the PBE level of DFT.

Structure (POSCAR):
```
PmLu2Pt
1.0
3.497 0.000 0.000
0.000 3.497 0.000
0.000 0.000 8.502
Pm Lu Pt
1 2 1
Direct
0.000 0.000 0.000 Pm
0.500 0.500 0.310 Lu
0.500 0.500 0.690 Lu
0.000 0.000 0.500 Pt
```

As for the energy relative to the elements: -15.2 kcal/mol of atoms. The calculation puts the excess energy over the best structure of this formula in the dataset at 0 meV/atom. Its symmetry is P4/mmm (123).

5.
Computed, not measured: PmLu2Pt after structural relaxation at the PBE level of DFT.

Structure (POSCAR):
```
PmLu2Pt
1.0
3.806 0.000 0.000
-1.903 3.296 0.000
0.000 0.000 28.023
Pm Lu Pt
3 6 3
Direct
0.000 0.000 0.000 Pm
0.333 0.667 0.667 Pm
0.667 0.333 0.333 Pm
0.000 0.000 0.226 Lu
0.000 0.000 0.774 Lu
0.333 0.667 0.441 Lu
0.333 0.667 0.893 Lu
0.667 0.333 0.107 Lu
0.667 0.333 0.559 Lu
0.000 0.000 0.500 Pt
0.333 0.667 0.167 Pt
0.667 0.333 0.833 Pt
```

As for the energy relative to the elements: -12.5 kcal/mol of atoms. The calculation puts the excess energy over the best structure of this formula in the dataset at 116 meV/atom. Its symmetry is R-3m (166).

6.
Computed, not measured: PmLuPt2 after structural relaxation at the PBE level of DFT.

Structure (POSCAR):
```
PmLuPt2
1.0
3.484 0.000 0.000
0.000 3.484 0.000
0.000 0.000 7.089
Pm Lu Pt
1 1 2
Direct
0.000 0.000 0.000 Pm
0.000 0.000 0.500 Lu
0.500 0.500 0.271 Pt
0.500 0.500 0.729 Pt
```

As for the energy relative to the elements: -27.3 kcal/mol of atoms. The calculation puts the excess energy over the best structure of this formula in the dataset at 0 meV/atom. Its symmetry is P4/mmm (123).

7.
Computed, not measured: PmLuPtRh after structural relaxation at the PBE level of DFT.

Structure (POSCAR):
```
PmLuPtRh
1.0
6.948 0.000 0.000
0.000 6.948 0.000
0.000 0.000 6.948
Pm Lu Pt Rh
4 4 4 4
Direct
0.000 0.000 0.000 Pm
0.000 0.500 0.500 Pm
0.500 0.000 0.500 Pm
0.500 0.500 0.000 Pm
0.000 0.000 0.500 Lu
0.000 0.500 0.000 Lu
0.500 0.000 0.000 Lu
0.500 0.500 0.500 Lu
0.250 0.250 0.750 Pt
0.250 0.750 0.250 Pt
0.750 0.250 0.250 Pt
0.750 0.750 0.750 Pt
0.250 0.250 0.250 Rh
0.250 0.750 0.750 Rh
0.750 0.250 0.750 Rh
0.750 0.750 0.250 Rh
```

As for the energy relative to the elements: -22.9 kcal/mol of atoms. Its symmetry is F-43m (216).

8.
Computed, not measured: PmLuRuPt after structural relaxation at the PBE level of DFT.

Structure (POSCAR):
```
PmLuRuPt
1.0
6.912 0.000 0.000
0.000 6.912 0.000
0.000 0.000 6.912
Pm Lu Ru Pt
4 4 4 4
Direct
0.000 0.000 0.000 Pm
0.000 0.500 0.500 Pm
0.500 0.000 0.500 Pm
0.500 0.500 0.000 Pm
0.000 0.000 0.500 Lu
0.000 0.500 0.000 Lu
0.500 0.000 0.000 Lu
0.500 0.500 0.500 Lu
0.250 0.250 0.250 Ru
0.250 0.750 0.750 Ru
0.750 0.250 0.750 Ru
0.750 0.750 0.250 Ru
0.250 0.250 0.750 Pt
0.250 0.750 0.250 Pt
0.750 0.250 0.250 Pt
0.750 0.750 0.750 Pt
```

As for the energy relative to the elements: -16.8 kcal/mol of atoms. Its symmetry is F-43m (216).

9.
Computed, not measured: PmLuTlPt after structural relaxation at the PBE level of DFT.

Structure (POSCAR):
```
PmLuTlPt
1.0
7.312 0.000 0.000
0.000 7.312 0.000
0.000 0.000 7.312
Pm Lu Tl Pt
4 4 4 4
Direct
0.000 0.000 0.000 Pm
0.000 0.500 0.500 Pm
0.500 0.000 0.500 Pm
0.500 0.500 0.000 Pm
0.000 0.000 0.500 Lu
0.000 0.500 0.000 Lu
0.500 0.000 0.000 Lu
0.500 0.500 0.500 Lu
0.250 0.250 0.250 Tl
0.250 0.750 0.750 Tl
0.750 0.250 0.750 Tl
0.750 0.750 0.250 Tl
0.250 0.250 0.750 Pt
0.250 0.750 0.250 Pt
0.750 0.250 0.250 Pt
0.750 0.750 0.750 Pt
```

As for the energy relative to the elements: -15.2 kcal/mol of atoms. Its symmetry is F-43m (216).

10.
Computed, not measured: PmLu2Pu after structural relaxation at the PBE level of DFT.

Structure (POSCAR):
```
PmLu2Pu
1.0
4.943 0.000 0.000
0.000 4.943 0.000
0.000 0.000 4.906
Pm Lu Pu
1 2 1
Direct
0.000 0.000 0.000 Pm
0.000 0.500 0.500 Lu
0.500 0.000 0.500 Lu
0.500 0.500 0.000 Pu
```

As for the energy relative to the elements: 3.2 kcal/mol of atoms. Its symmetry is P4/mmm (123).

11.
Computed, not measured: PmLuPu after structural relaxation at the PBE level of DFT.

Structure (POSCAR):
```
PmLuPu
1.0
3.509 0.000 0.000
0.000 3.509 0.000
0.000 0.000 14.762
Pm Lu Pu
2 2 2
Direct
0.000 0.000 0.000 Pm
0.500 0.500 0.500 Pm
0.000 0.000 0.327 Lu
0.500 0.500 0.827 Lu
0.000 0.000 0.667 Pu
0.500 0.500 0.167 Pu
```

As for the energy relative to the elements: 2.7 kcal/mol of atoms. The calculation puts the excess energy over the best structure of this formula in the dataset at 0 meV/atom. Its symmetry is I4mm (107).

12.
Computed, not measured: PmLuPu2 after structural relaxation at the PBE level of DFT.

Structure (POSCAR):
```
PmLuPu2
1.0
3.409 0.000 0.000
0.000 3.409 0.000
0.000 0.000 10.110
Pm Lu Pu
1 1 2
Direct
0.000 0.000 0.000 Pm
0.000 0.000 0.500 Lu
0.500 0.500 0.257 Pu
0.500 0.500 0.743 Pu
```

As for the energy relative to the elements: 4.2 kcal/mol of atoms. The calculation puts the excess energy over the best structure of this formula in the dataset at 0 meV/atom. Its symmetry is P4/mmm (123).

| no. | uncorrected energy (eV per atom) |
| --- | --- |
| 1 | -3.828 |
| 2 | -5.406 |
| 3 | -6.508 |
| 4 | -5.617 |
| 5 | -5.502 |
| 6 | -6.522 |
| 7 | -6.660 |
| 8 | -6.876 |
| 9 | -5.078 |
| 10 | -6.894 |
| 11 | -7.751 |
| 12 | -9.302 |